# 1
VASP calculation (SCAN) on a crystal of NaSrSI2 relaxed with PBEsol.

```
5
Lattice="6.4319 0.0000 0.0000 0.0000 6.4319 0.0000 0.0000 0.0000 5.2491" Properties=species:S:1:pos:R:3 pbc="T T T"
Na 0.0000 0.0000 0.0000
Sr 3.2160 3.2160 0.0000
S 3.2160 3.2160 2.6245
I 0.0000 3.2160 2.6245
I 3.2160 0.0000 2.6245
```

Computed properties:
The raw total energy comes out at -22.62 eV per atom. The space group is No. 123. The crystal system is tetragonal.

# 2
VASP calculation (SCAN) on a crystal of Tl2Zn relaxed with PBEsol.

```
3
Lattice="3.4065 0.0000 0.0000 -1.7033 2.9501 0.0000 0.0000 0.0000 7.2000" Properties=species:S:1:pos:R:3 pbc="T T T"
Tl 0.0000 1.9667 2.2146
Tl 1.7033 0.9834 4.9854
Zn 0.0000 0.0000 0.0000
```

Computed properties:
The space group is No. 164. For the formation energy, the calculation gives 0.191 eV per atom. The crystal system is trigonal.

# 3
VASP calculation (SCAN) on a crystal of HRuBr3 relaxed with PBEsol.

```
5
Lattice="4.5468 0.0000 0.0000 0.0000 4.5468 0.0000 0.0000 0.0000 4.5468" Properties=species:S:1:pos:R:3 pbc="T T T"
H 0.0000 0.0000 0.0000
Ru 2.2734 2.2734 2.2734
Br 0.0000 0.0000 2.2734
Br 0.0000 2.2734 0.0000
Br 2.2734 0.0000 0.0000
```

Computed properties:
The raw total energy comes out at -18.27 eV per atom. The space group is No. 221. The crystal system is cubic.

# 4
VASP calculation (SCAN) on a crystal of CsCaTa6Cl18 relaxed with PBEsol.

```
52
Lattice="9.1990 0.0000 0.0000 -4.5995 7.9665 0.0000 0.0000 0.0000 17.0882" Properties=species:S:1:pos:R:3 pbc="T T T"
Cs 0.0000 5.3110 4.2721
Cs 4.5995 2.6555 12.8162
Ca 0.0000 5.3110 12.8162
Ca 4.5995 2.6555 4.2721
Ta -0.5928 1.5705 9.7306
Ta -3.5358 6.6679 15.9018
Ta 0.5928 1.5705 15.9018
Ta -2.9430 7.6947 9.7306
Ta 1.6565 0.2718 1.1865
Ta 1.0637 1.2987 7.3576
Ta 3.5358 6.6679 9.7306
Ta 2.9430 7.6947 15.9018
Ta 7.5425 0.2718 7.3576
Ta 4.0066 6.3960 1.1865
Ta 8.1353 1.2987 1.1865
Ta 5.1923 6.3960 7.3576
Cl -0.7018 1.8387 5.7753
Cl -3.3581 6.4395 2.7688
Cl -1.3680 3.4986 11.2494
Cl -2.2536 5.0325 14.3829
Cl -0.5525 3.3537 0.0010
Cl -1.9713 5.8112 8.5431
Cl 0.7018 1.8387 2.7688
Cl -2.6563 7.6550 5.7753
Cl 1.9432 0.3116 14.3195
Cl 1.2414 1.5271 11.3129
Cl 0.5525 3.3537 8.5431
Cl -1.4188 6.7682 0.0010
Cl 1.3680 3.4986 14.3829
Cl -0.8856 7.4020 11.2494
Cl 3.1806 1.1984 8.5451
Cl 2.6281 2.1553 17.0872
Cl 3.7139 0.5645 2.7053
Cl 2.3459 2.9340 5.8388
Cl 2.2536 5.0325 11.2494
Cl 0.8856 7.4020 14.3829
Cl 1.9713 5.8112 0.0010
Cl 1.4188 6.7682 8.5431
Cl 5.4851 0.5645 5.8388
Cl 3.2315 4.4680 2.7053
Cl 6.0183 1.1984 17.0872
Cl 4.0470 4.6128 8.5451
Cl 3.3581 6.4395 5.7753
Cl 2.6563 7.6550 2.7688
Cl 7.2558 0.3116 11.3129
Cl 3.8977 6.1279 14.3195
Cl 6.5708 2.1553 8.5451
Cl 5.1520 4.6128 17.0872
Cl 6.8531 2.9340 2.7053
Cl 5.9675 4.4680 5.8388
Cl 7.9575 1.5271 14.3195
Cl 5.3013 6.1279 11.3129
```

Computed properties:
The raw total energy comes out at -24.36 eV per atom. The space group is No. 163. The crystal system is trigonal.